1.
Entry from the Alexandria database: an optimized crystal structure of LuPa2N (PBE).

Values from the calculation:
Spin magnetization in μB per cell: 0.01
Energy relative to the elements, uncorrected in meV/atom: -442

Cell lengths 3.2515, 3.2515, 28.2928 Å; angles 90.00, 90.00, 120.00 degrees
Closest atoms and distances in Å follow each position.
Space group R-3m (No. 166, hexagonal axes)
Unique sites:
Lu (0.0000, 0.0000, 0.0000) x3  2 Pa 3.18, 6 Lu 3.25
Pa (0.0000, 0.0000, 0.1125) x6  3 N 2.42
N (0.0000, 0.0000, 0.5000) x3  6 Pa 2.42

---

2.
Entry from the Alexandria database: an optimized crystal structure of Ac8PrIn2 (PBE).

Values from the calculation:
Spin magnetization in μB per cell: 0.00
DFT formation energy in meV/atom: -49

Cell lengths 17.7214, 7.4707, 6.9476 Å; angles 90.00, 96.13, 90.00 degrees
Closest atoms and distances in Å follow each position.
Space group C2/m (No. 12)
Unique sites:
Ac (0.0868, 0.0000, 0.3897) x4  1 In 3.36, 1 Ac 3.58
Ac (0.1000, 0.2470, 0.8951) x8  2 In 3.42-3.46, 1 Pr 3.63, 2 Ac 3.69-3.78
Ac (0.2063, 0.5000, 0.3466) x4  2 In 3.50-3.67, 1 Pr 3.92, 1 Ac 3.92
Pr (0.0000, 0.5000, 0.5000) x2  6 Ac 3.63-3.92
In (0.2424, 0.0000, 0.1520) x4  7 Ac 3.36-3.67

---

3.
Entry from the Alexandria database: an optimized crystal structure of Tb2Y2Cd (PBE).

Values from the calculation:
E above lowest polymorph in eV/f.u.: 0.89
Spin magnetization in μB per cell: 1.64
DFT formation energy in meV/atom: 57

Cell lengths 5.0881, 5.0881, 25.1521 Å; angles 90.00, 90.00, 90.00 degrees
Closest atoms and distances in Å follow each position.
Space group I4_1/amd (No. 141, origin choice 2)
Unique sites:
Tb (0.0000, 0.2500, 0.0513) x8  2 Cd 3.15
Y (0.0000, 0.2500, 0.2008) x8  2 Cd 3.18, 2 Y 3.55
Cd (0.0000, 0.2500, 0.3750) x4  4 Tb 3.15, 4 Y 3.18

---

4.
Entry from the Alexandria database: an optimized crystal structure of Li2Tm2GaPd5 (PBE).

Values from the calculation:
Spin magnetization in μB per cell: 0.00
DFT formation energy in meV/atom: -708

Cell lengths 9.5554, 9.5554, 3.5554 Å; angles 90.00, 90.00, 90.00 degrees
Closest atoms and distances in Å follow each position.
Space group P4/mbm (No. 127)
Unique sites:
Li (0.1225, 0.3775, 0.0000) x4  6 Pd 2.43-2.50, 1 Tm 2.72
Tm (0.1766, 0.6766, 0.0000) x4  3 Li 2.72-2.90, 6 Pd 2.98-3.04
Ga (0.0000, 0.0000, 0.0000) x2  8 Pd 2.71
Pd (0.0000, 0.5000, 0.5000) x2  4 Li 2.43
Pd (0.0667, 0.2030, 0.5000) x8  2 Li 2.50, 2 Ga 2.71

---

5.
Entry from the Alexandria database: an optimized crystal structure of Pr12CoAg6 (PBE).

Values from the calculation:
Spin magnetization in μB per cell: 0.00
DFT formation energy in meV/atom: -64

Cell lengths 12.2141, 12.2141, 13.5350 Å; angles 90.00, 90.00, 120.00 degrees
Closest atoms and distances in Å follow each position.
Space group R-3 (No. 148, hexagonal axes)
Unique sites:
Pr (0.0390, 0.1919, 0.3785) x18  1 Co 2.70
Pr (0.0388, 0.8460, 0.8870) x18  4 Ag 3.13-3.29
Co (0.0000, 0.0000, 0.5000) x3  6 Pr 2.70
Ag (0.0039, 0.6039, 0.7552) x18  8 Pr 3.13-3.35

---

6.
Entry from the Alexandria database: an optimized crystal structure of LiV2Br (PBE).

Values from the calculation:
E above lowest polymorph in eV/f.u.: 0.00
Spin magnetization in μB per cell: 0.00
Energy relative to the elements, uncorrected in meV/atom: 385

Cell lengths 3.4679, 3.4679, 22.1541 Å; angles 90.00, 90.00, 90.00 degrees
Closest atoms and distances in Å follow each position.
Space group I-42d (No. 122)
Unique sites:
Li (0.0000, 0.0000, 0.0000) x4  4 Br 2.45
V (0.2466, 0.2500, 0.6250) x8  4 V 2.44-2.47
Br (0.0000, 0.0000, 0.5000) x4  4 Li 2.45

---

7.
Entry from the Alexandria database: an optimized crystal structure of Mg2InW (PBE).

Values from the calculation:
Spin magnetization in μB per cell: 0.00
DFT formation energy in meV/atom: 370

Cell lengths 5.7966, 9.1116, 2.9100 Å; angles 90.00, 90.00, 90.00 degrees
Closest atoms and distances in Å follow each position.
Space group Cmmm (No. 65)
Unique sites:
Mg (0.2500, 0.2500, 0.0000) x4  4 Mg 2.90-2.91, 4 In 3.07, 4 W 3.07
In (0.0000, 0.0000, 0.5000) x2  2 W 2.90, 2 In 2.91, 8 Mg 3.07
W (0.0000, 0.5000, 0.5000) x2  2 In 2.90, 2 W 2.91, 8 Mg 3.07

---

8.
Entry from the Alexandria database: an optimized crystal structure of Cs2NaH6Os (PBE).

Values from the calculation:
Spin magnetization in μB per cell: 1.00
Calculated total energy in eV/cell: -35.9

Cell lengths 6.3153, 6.3153, 5.7152 Å; angles 90.00, 90.00, 120.00 degrees
Closest atoms and distances in Å follow each position.
Space group P-3m1 (No. 164)
Unique sites:
Cs (0.3333, 0.6667, 0.2953) x2  9 H 3.11-3.19
Na (0.0000, 0.0000, 0.0000) x1  6 H 2.34
H (0.1302, 0.2604, 0.6759) x6  1 Os 1.74
Os (0.0000, 0.0000, 0.5000) x1  6 H 1.74

---

9.
Entry from the Alexandria database: an optimized crystal structure of Ca4AgRh (PBE).

Values from the calculation:
E above lowest polymorph in eV/f.u.: 5.60
Spin magnetization in μB per cell: 0.00
DFT formation energy in meV/atom: 601

Cell lengths 8.7787, 8.7787, 8.7787 Å; angles 90.00, 90.00, 90.00 degrees
Closest atoms and distances in Å follow each position.
Space group F-43m (No. 216)
Unique sites:
Ca (0.1243, 0.1243, 0.1243) x16  6 Ca 3.09-3.12
Ag (0.0000, 0.0000, 0.5000) x4  12 Ca 3.64, 4 Rh 3.80
Rh (0.2500, 0.2500, 0.7500) x4  12 Ca 3.64, 4 Ag 3.80

---

10.
Entry from the Alexandria database: an optimized crystal structure of Tb2Pm4Sm2Dy (PBE).

Values from the calculation:
Spin magnetization in μB per cell: 0.00
DFT formation energy in meV/atom: 16

Cell lengths 15.3432, 5.1137, 8.0645 Å; angles 90.00, 108.53, 90.00 degrees
Closest atoms and distances in Å follow each position.
Space group C2/m (No. 12)
Unique sites:
Tb (0.1666, 0.0000, 0.9998) x4  5 Pm 3.60, 3 Sm 3.60, 2 Dy 3.62, 2 Tb 3.62
Pm (0.0551, 0.0000, 0.3316) x4  2 Tb 3.60, 2 Dy 3.60, 4 Sm 3.61-3.63, 4 Pm 3.62-3.63
Pm (0.2220, 0.5000, 0.3315) x4  1 Dy 3.60, 3 Tb 3.60, 3 Sm 3.62-3.63, 5 Pm 3.62-3.63
Sm (0.1114, 0.5000, 0.6688) x4  3 Tb 3.60, 1 Dy 3.60, 7 Pm 3.61-3.63, 1 Sm 3.63
Dy (0.0000, 0.5000, 0.0000) x2  6 Pm 3.60, 2 Sm 3.60, 4 Tb 3.62

---

11.
Entry from the Alexandria database: an optimized crystal structure of GaBi2Pb (PBE).

Values from the calculation:
Spin magnetization in μB per cell: 0.00
DFT formation energy in meV/atom: 65

Cell lengths 4.8810, 4.8810, 4.9752 Å; angles 90.00, 90.00, 90.00 degrees
Closest atoms and distances in Å follow each position.
Space group P4/mmm (No. 123)
Unique sites:
Ga (0.0000, 0.0000, 0.0000) x1  4 Pb 3.45, 8 Bi 3.48
Bi (0.0000, 0.5000, 0.5000) x2  4 Bi 3.45, 4 Pb 3.48, 4 Ga 3.48
Pb (0.5000, 0.5000, 0.0000) x1  4 Ga 3.45, 8 Bi 3.48

---

12.
Entry from the Alexandria database: an optimized crystal structure of La3Sm5Tm2 (PBE).

Values from the calculation:
Spin magnetization in μB per cell: 0.00
DFT formation energy in meV/atom: 178

Cell lengths 10.9639, 15.3167, 9.8314 Å; angles 90.00, 123.38, 90.00 degrees
Closest atoms and distances in Å follow each position.
Space group C2/c (No. 15)
Unique sites:
La (0.0000, 0.2273, 0.2500) x4  1 Sm 3.17, 2 Tm 3.38, 2 La 3.49
La (0.1466, 0.1269, 0.0519) x8  1 Tm 3.28, 6 Sm 3.33-3.62, 1 La 3.49
Sm (0.0000, 0.0203, 0.2500) x4  5 La 3.17-3.53, 2 Tm 3.52, 2 Sm 3.52
Sm (0.0000, 0.2716, 0.7500) x4  1 Sm 3.07, 2 La 3.33
Sm (0.0000, 0.4722, 0.7500) x4  1 Sm 3.07, 2 Tm 3.35
Sm (0.2320, 0.3813, 0.2236) x8  3 Sm 3.51-3.65, 2 Tm 3.56-3.73, 3 La 3.58-3.87
Tm (0.1548, 0.3794, 0.5489) x8  3 La 3.28-3.56, 5 Sm 3.35-3.63

---

13.
Entry from the Alexandria database: an optimized crystal structure of Nd4SbPS2 (PBE).

Values from the calculation:
Spin magnetization in μB per cell: 0.00
Energy relative to the elements, uncorrected in meV/atom: -1678

Cell lengths 7.2533, 4.2167, 7.3740 Å; angles 90.00, 109.55, 90.00 degrees
Closest atoms and distances in Å follow each position.
Space group P2/m (No. 10)
Unique sites:
Nd (0.2377, 0.0000, 0.2301) x2  3 S 2.89-3.04, 1 P 2.94, 2 Sb 3.08
Nd (0.2489, 0.5000, 0.7636) x2  3 S 2.90-3.02, 2 P 2.95, 1 Sb 3.08
Sb (0.5000, 0.5000, 0.5000) x1  6 Nd 3.08
P (0.5000, 0.0000, 0.0000) x1  6 Nd 2.94-2.95
S (0.0000, 0.0000, 0.5000) x1  6 Nd 3.02-3.04
S (0.0000, 0.5000, 0.0000) x1  6 Nd 2.89-2.90

---

14.
Entry from the Alexandria database: an optimized crystal structure of BaLiMg2Cd (PBE).

Values from the calculation:
E above lowest polymorph in eV/f.u.: 0.08
Spin magnetization in μB per cell: 0.00
DFT formation energy in meV/atom: -8

Cell lengths 5.4001, 5.4001, 5.4012 Å; angles 90.00, 90.00, 90.00 degrees
Closest atoms and distances in Å follow each position.
Space group P4/mmm (No. 123)
Unique sites:
Ba (0.0000, 0.0000, 0.0000) x1  4 Li 3.82, 8 Mg 3.82
Li (0.5000, 0.5000, 0.0000) x1  2 Cd 2.70
Mg (0.0000, 0.5000, 0.5000) x2  2 Cd 2.70
Cd (0.5000, 0.5000, 0.5000) x1  4 Mg 2.70, 2 Li 2.70

---

15.
Entry from the Alexandria database: an optimized crystal structure of KP2PdCl (PBE).

Values from the calculation:
E above lowest polymorph in eV/f.u.: 8.07
Spin magnetization in μB per cell: 6.09
Energy relative to the elements, uncorrected in meV/atom: 1434

Cell lengths 6.3442, 6.3442, 5.5961 Å; angles 90.00, 90.00, 90.00 degrees
Closest atoms and distances in Å follow each position.
Space group P4/mmm (No. 123)
Unique sites:
K (0.0000, 0.0000, 0.0000) x1  2 Cl 2.80
P (0.0000, 0.5000, 0.0000) x2  2 K 3.17
Pd (0.5000, 0.5000, 0.5000) x1  8 P 4.23, 4 Cl 4.49
Cl (0.0000, 0.0000, 0.5000) x1  2 K 2.80

---

16.
Entry from the Alexandria database: an optimized crystal structure of Ce3B2TeRh9 (PBE).

Values from the calculation:
Spin magnetization in μB per cell: 0.30
Energy relative to the elements, uncorrected in meV/atom: -659

Cell lengths 5.8253, 5.8253, 8.9654 Å; angles 90.00, 90.00, 120.00 degrees
Closest atoms and distances in Å follow each position.
Space group P-3m1 (No. 164)
Unique sites:
Ce (0.0000, 0.0000, 0.0000) x1  12 Rh 2.91-2.94
Ce (0.3333, 0.6667, 0.6930) x2  9 Rh 2.93-3.23
B (0.3333, 0.6667, 0.1437) x2  6 Rh 2.06-2.12
Te (0.0000, 0.0000, 0.5000) x1  6 Rh 2.63
Rh (0.0000, 0.5000, 0.0000) x3  2 B 2.12
Rh (0.1637, 0.3274, 0.2715) x6  1 B 2.06

---

17.
Entry from the Alexandria database: an optimized crystal structure of ZnSi2Ag (PBE).

Values from the calculation:
Spin magnetization in μB per cell: 0.00
Energy relative to the elements, uncorrected in meV/atom: 382

Cell lengths 2.8881, 2.8881, 7.7620 Å; angles 90.00, 90.00, 90.00 degrees
Closest atoms and distances in Å follow each position.
Space group P4/mmm (No. 123)
Unique sites:
Zn (0.0000, 0.0000, 0.0000) x1  8 Si 2.77, 4 Zn 2.89
Si (0.5000, 0.5000, 0.2412) x2  4 Zn 2.77, 4 Ag 2.86, 4 Si 2.89
Ag (0.0000, 0.0000, 0.5000) x1  8 Si 2.86, 4 Ag 2.89

---

18.
Entry from the Alexandria database: an optimized crystal structure of Co2PPt (PBE).

Values from the calculation:
Spin magnetization in μB per cell: 3.52
DFT formation energy in meV/atom: -191

Cell lengths 3.4706, 2.7557, 10.3933 Å; angles 90.00, 90.00, 90.00 degrees
Closest atoms and distances in Å follow each position.
Space group Amm2 (No. 38)
Unique sites:
Co (0.0000, 0.0000, 0.0000) x2  4 P 2.34, 4 Co 2.61
Co (0.5000, 0.0000, 0.3675) x2  1 P 2.13
P (0.5000, 0.0000, 0.5729) x2  5 Co 2.13-2.34
Pt (0.0000, 0.0000, 0.7334) x2  2 P 2.41, 4 Co 2.62

---

19.
Entry from the Alexandria database: an optimized crystal structure of SrZn3Rh (PBE).

Values from the calculation:
E above lowest polymorph in eV/f.u.: 1.77
Spin magnetization in μB per cell: 0.00
DFT formation energy in meV/atom: 7

Cell lengths 13.0461, 13.0461, 13.0461 Å; angles 90.00, 90.00, 90.00 degrees
Closest atoms and distances in Å follow each position.
Space group Fd-3m (No. 227, origin choice 2)
Unique sites:
Sr (0.0000, 0.0000, 0.0000) x16  6 Zn 3.44
Zn (0.0543, 0.3750, 0.8750) x48  2 Rh 2.41
Rh (0.0000, 0.0000, 0.5000) x16  6 Zn 2.41

---

20.
Entry from the Alexandria database: an optimized crystal structure of AcGeS4 (PBE).

Values from the calculation:
E above lowest polymorph in eV/f.u.: 0.00
Spin magnetization in μB per cell: 0.71
Energy relative to the elements, uncorrected in meV/atom: -926

Cell lengths 6.0056, 9.5405, 6.0127 Å; angles 90.00, 98.87, 90.00 degrees
Closest atoms and distances in Å follow each position.
Space group P2_1/m (No. 11)
Unique sites:
Ac (0.1447, 0.2500, 0.1419) x2  8 S 3.07-3.11
Ge (0.3643, 0.7500, 0.3674) x2  4 S 2.22-2.24
S (0.1806, 0.5704, 0.1839) x4  1 Ge 2.24
S (0.2714, 0.2500, 0.6603) x2  1 Ge 2.22
S (0.3369, 0.7500, 0.7312) x2  1 Ge 2.22

---

21.
Entry from the Alexandria database: an optimized crystal structure of Ce2HoCo2 (PBE).

Values from the calculation:
E above lowest polymorph in eV/f.u.: 0.00
Spin magnetization in μB per cell: 0.00
DFT formation energy in meV/atom: -164

Cell lengths 14.9909, 3.6525, 9.5170 Å; angles 90.00, 124.75, 90.00 degrees
Closest atoms and distances in Å follow each position.
Space group C2/m (No. 12)
Unique sites:
Ce (0.0886, 0.0000, 0.4407) x4  2 Co 2.48
Ce (0.1373, 0.5000, 0.1661) x4  4 Co 2.57-2.82
Ho (0.1539, 0.5000, 0.8179) x4  3 Co 2.90-3.08
Co (0.0583, 0.0000, 0.9343) x4  2 Ce 2.57, 1 Co 2.67
Co (0.2246, 0.5000, 0.5713) x4  2 Ce 2.48, 2 Co 2.63

---

22.
Entry from the Alexandria database: an optimized crystal structure of LiGd2Bi (PBE).

Values from the calculation:
E above lowest polymorph in eV/f.u.: 2.16
Spin magnetization in μB per cell: 45.66
DFT formation energy in meV/atom: 106

Cell lengths 3.4871, 3.4871, 35.1255 Å; angles 90.00, 90.00, 120.00 degrees
Closest atoms and distances in Å follow each position.
Space group R-3m (No. 166, hexagonal axes)
Unique sites:
Li (0.0000, 0.0000, 0.0000) x3  6 Gd 3.36, 6 Li 3.49
Gd (0.0000, 0.0000, 0.4099) x6  1 Bi 3.16, 3 Li 3.36, 6 Gd 3.49
Bi (0.0000, 0.0000, 0.5000) x3  2 Gd 3.16, 6 Bi 3.49

---

23.
Entry from the Alexandria database: an optimized crystal structure of AcPmAu4 (PBE).

Values from the calculation:
E above lowest polymorph in eV/f.u.: 0.11
Spin magnetization in μB per cell: 0.00
DFT formation energy in meV/atom: -782

Cell lengths 3.7599, 4.8772, 8.1828 Å; angles 90.00, 90.00, 90.00 degrees
Closest atoms and distances in Å follow each position.
Space group Pmmm (No. 47)
Unique sites:
Ac (0.0000, 0.0000, 0.0000) x1  12 Au 3.32-3.39
Pm (0.0000, 0.5000, 0.5000) x1  12 Au 3.27-3.36
Au (0.5000, 0.0000, 0.3342) x2  3 Au 2.71-2.77
Au (0.5000, 0.5000, 0.1735) x2  3 Au 2.77-2.84